GGA-PBE AcTbIrO6, relaxed; formation energy without anion corrections = -2.207 eV per atom; calculated total energy = -7.47 eV per atom
1.0
5.3031 0.0000 0.0000
0.0000 5.5772 0.0000
0.0000 -2.7886 4.8300
Ac Tb Ir O
1 1 1 6
direct
0.0000 0.3333 0.6667
0.5000 0.6667 0.3333
0.5000 0.0000 0.0000
0.7120 0.7146 0.7077
0.7120 0.2923 0.0069
0.7120 0.9931 0.2854
0.2880 0.2923 0.2854
0.2880 0.7146 0.0069
0.2880 0.9931 0.7077



GGA-PBE GdHg2, relaxed; calculated total energy = -5.27 eV per atom; energy of formation = -0.380 eV per atom
1.0
-2.7569 2.6133 -0.6494
-1.2507 -2.0658 -3.0033
-1.1801 -2.8610 4.9319
Gd Hg
1 2
direct
0.0000 0.0000 0.0000
0.6694 0.6694 0.3387
0.3306 0.3306 0.6613



GGA-PBE Ce3HoPu2P6, relaxed; calculated total energy = -8.36 eV per atom; energy of formation = -1.406 eV per atom
1.0
-2.1337 -0.6538 6.6403
-1.8785 -4.7743 -4.7699
6.7312 -1.6988 0.7640
Ce Ho Pu P
3 1 2 6
direct
0.1662 0.8338 0.5000
0.8338 0.1662 0.5000
0.5000 0.5000 0.5000
0.0000 0.0000 0.0000
0.3333 0.6667 0.0000
0.6667 0.3333 0.0000
0.9187 0.5839 0.7561
0.7465 0.7465 0.2440
0.0813 0.4161 0.2439
0.5839 0.9187 0.7561
0.2535 0.2535 0.7560
0.4161 0.0813 0.2439



GGA-PBE Na2Tl2Pt, relaxed; calculated total energy = -2.85 eV per atom; energy of formation = -0.165 eV per atom
1.0
1.9470 6.6018 -0.2292
1.9149 -4.4158 -6.4993
-7.6312 -1.2928 2.3604
Na Tl Pt
4 4 2
direct
0.6643 0.8983 0.0947
0.3358 0.1018 0.9054
0.1647 0.5951 0.3987
0.8354 0.4049 0.6013
0.6656 0.6658 0.3419
0.3344 0.3342 0.6581
0.8351 0.1587 0.8348
0.1649 0.8413 0.1652
0.2500 0.2505 0.2496
0.7500 0.7495 0.7505



GGA-PBE LiPt2PbW, relaxed; calculated total energy = -4.61 eV per atom; energy of formation = 1.519 eV per atom
1.0
5.0195 0.0000 0.0000
0.0000 4.5268 0.0000
0.0000 0.0000 5.0195
Pb W Pt Li
1 1 2 1
direct
0.0000 0.0000 0.0000
0.5000 0.5000 0.5000
0.0000 0.0000 0.5000
0.5000 0.0000 0.0000
0.0000 0.5000 0.0000



GGA-PBE NdYGe2, relaxed; calculated total energy = -5.78 eV per atom; energy of formation = -0.665 eV per atom
1.0
-0.1553 3.9820 1.5892
-2.8801 0.9933 3.0206
3.3775 -0.0672 6.2893
Y Ge Nd
1 2 1
direct
0.0000 0.0000 0.0000
0.2530 0.2530 0.2410
0.7470 0.7470 0.7590
0.5000 0.5000 0.5000



GGA-PBE TbEuO2, relaxed; formation energy without anion corrections = -2.827 eV per atom; calculated total energy = -9.03 eV per atom
1.0
3.4856 0.0000 0.0000
1.7428 3.0186 0.0000
1.7428 1.0062 5.8447
Eu Tb O
1 1 2
direct
0.5000 0.5000 0.5000
0.0000 0.0000 0.0000
0.2612 0.2612 0.2164
0.7388 0.7388 0.7836



GGA-PBE TaSi2Br, relaxed; formation energy without anion corrections = 0.638 eV per atom; calculated total energy = -5.46 eV per atom
1.0
5.1394 0.0142 0.0000
2.0167 4.7272 0.0000
-3.5781 -2.3707 2.8268
Br Si Ta
1 2 1
direct
0.7500 0.2500 0.5000
0.0000 0.0000 0.0000
0.5000 0.5000 0.0000
0.2500 0.7500 0.5000



GGA-PBE GeIrN3, relaxed; formation energy without anion corrections = 1.814 eV per atom; calculated total energy = -5.88 eV per atom
1.0
-0.9237 -2.1645 2.9050
1.2561 -3.0033 -1.8383
3.3980 0.5218 1.4692
Ge Ir N
1 1 3
direct
0.0000 0.0000 0.0000
0.5000 0.5000 0.5000
0.0000 0.5000 0.0000
0.0000 0.0000 0.5000
0.5000 0.0000 0.0000



GGA-PBE ScV2NiSe, relaxed; formation energy without anion corrections = 0.279 eV per atom; calculated total energy = -6.49 eV per atom
1.0
4.5255 0.0000 0.0000
0.0000 4.3437 0.0000
0.0000 0.0000 4.5255
Sc Ni Se V
1 1 1 2
direct
0.5000 0.5000 0.5000
0.0000 0.5000 0.0000
0.0000 0.0000 0.0000
0.0000 0.0000 0.5000
0.5000 0.0000 0.0000



GGA-PBE ZnPtSe, relaxed; formation energy without anion corrections = -0.037 eV per atom; calculated total energy = -3.64 eV per atom
1.0
4.7912 -0.0090 -0.0296
2.2310 4.2401 0.0296
-3.4949 -2.1424 2.4804
Pt Se Zn
1 1 1
direct
0.0121 0.0121 0.0000
0.3268 0.3268 0.0000
0.6611 0.6611 0.0000



GGA-PBE Pa2MnMo, relaxed; calculated total energy = -9.53 eV per atom; energy of formation = 0.219 eV per atom
1.0
4.8218 0.0000 0.0000
2.4109 4.1758 0.0000
2.4109 1.3919 3.9370
Mo Pa Mn
1 2 1
direct
0.5000 0.5000 0.5000
0.2500 0.2500 0.2500
0.7500 0.7500 0.7500
0.0000 0.0000 0.0000



GGA-PBE PuHgSe2, relaxed; formation energy without anion corrections = -0.870 eV per atom; calculated total energy = -6.27 eV per atom
1.0
-2.1651 -3.2410 -1.4428
1.6756 -2.5134 -2.8545
3.2143 -7.0802 5.0952
Pu Hg Se
1 1 2
direct
0.6662 0.6662 0.0013
0.5005 0.5005 0.4986
0.0548 0.0548 0.8355
0.2785 0.2785 0.1645



GGA-PBE La8TlTe4As3, relaxed; formation energy without anion corrections = -1.463 eV per atom; calculated total energy = -5.73 eV per atom
1.0
-6.1560 6.4762 -1.0155
-4.8669 -3.5633 6.7792
8.6213 2.1651 1.3625
La Tl Te As
8 1 4 3
direct
0.2479 0.7320 0.9841
0.2479 0.7319 0.4958
0.2589 0.2766 0.5178
0.7362 0.7320 0.9841
0.2638 0.2680 0.0159
0.7411 0.7234 0.4822
0.7521 0.2681 0.5042
0.7521 0.2680 0.0159
0.0000 0.5000 0.0000
0.5000 0.0000 0.0000
0.5000 0.0000 0.5000
0.0000 0.0000 0.0000
0.0000 0.0000 0.5000
0.5000 0.5000 0.0000
0.5000 0.5000 0.5000
0.0000 0.5000 0.5000



GGA-PBE TlPd6Pt2, relaxed; calculated total energy = -5.09 eV per atom; energy of formation = -0.019 eV per atom
1.0
4.8087 -0.1302 -0.1261
1.3305 7.8859 0.9578
1.3305 1.2128 7.8507
Tl Pd Pt
2 12 4
direct
0.2500 0.1309 0.8691
0.7500 0.8691 0.1309
0.4658 0.6763 0.4349
0.0342 0.5651 0.3237
0.5342 0.3237 0.5651
0.9658 0.4349 0.6763
0.6471 0.1035 0.3538
0.8529 0.6462 0.8965
0.3529 0.8965 0.6462
0.1471 0.3538 0.1035
0.3019 0.7566 0.0107
0.1981 0.9893 0.2434
0.6981 0.2434 0.9893
0.8019 0.0107 0.7566
0.4087 0.5402 0.7908
0.0913 0.2092 0.4598
0.5913 0.4598 0.2092
0.9087 0.7908 0.5402



GGA-PBE Dy2Ge3Os, relaxed; calculated total energy = -6.27 eV per atom; energy of formation = -0.557 eV per atom
1.0
4.0545 0.0000 1.6980
1.7727 5.1473 1.4567
-0.0561 -0.0065 5.8236
Dy Ge Os
2 3 1
direct
0.5455 0.1958 0.7133
0.4330 0.8149 0.3191
0.8738 0.5913 0.6611
0.8062 0.2653 0.1223
0.1731 0.7473 0.9065
0.1685 0.3853 0.2777



GGA-PBE Rb2TaHgI6, relaxed; formation energy without anion corrections = -0.721 eV per atom; calculated total energy = -3.06 eV per atom
1.0
-2.2544 -1.4183 -8.4474
-7.0500 -4.6540 2.6628
-8.0925 2.1978 -2.8529
I Hg Rb Ta
6 1 2 1
direct
0.2759 0.2759 0.4483
0.7241 0.7241 0.5517
0.2759 0.2759 0.0000
0.7241 0.7241 0.0000
0.7241 0.2759 0.0000
0.2759 0.7241 0.0000
0.0000 0.0000 0.0000
0.7500 0.2500 0.5000
0.2500 0.7500 0.5000
0.5000 0.5000 0.0000



GGA-PBE Cr2Co4Cl, relaxed; formation energy without anion corrections = 1.105 eV per atom; calculated total energy = -5.97 eV per atom
1.0
4.0297 0.0000 0.0000
0.0000 4.0297 0.0000
2.0149 2.0149 6.1544
Cr Co Cl
2 4 1
direct
0.6357 0.6357 0.7286
0.3643 0.3643 0.2714
0.8274 0.8274 0.3453
0.1726 0.1726 0.6547
0.0000 0.5000 0.0000
0.5000 0.0000 0.0000
0.0000 0.0000 0.0000



GGA-PBE MgCuSe3, relaxed; formation energy without anion corrections = -0.143 eV per atom; calculated total energy = -3.37 eV per atom
1.0
-2.7908 -0.7485 4.4792
-2.7093 4.5317 -0.7319
0.1700 -3.7436 -3.7906
Mg Cu Se
1 1 3
direct
0.0152 0.0152 0.0000
0.6842 0.6842 0.0000
0.3069 0.8069 0.5000
0.8069 0.3069 0.5000
0.3639 0.3639 0.0000



GGA-PBE SmThTcBr, relaxed; formation energy without anion corrections = -0.531 eV per atom; calculated total energy = -6.58 eV per atom
1.0
4.1293 0.0006 -0.0005
-2.0632 3.5748 0.0002
-2.0651 -1.1916 7.7805
Sm Th Tc Br
1 1 1 1
direct
0.5012 0.1485 0.6650
0.0860 0.9408 0.0430
0.3184 0.5570 0.8901
0.9724 0.3845 0.3716



GGA-PBE Rb3PmI6, relaxed; formation energy without anion corrections = -1.479 eV per atom; calculated total energy = -3.17 eV per atom
1.0
8.7592 0.0000 0.1005
0.0000 9.4075 0.0000
0.2546 0.0000 12.5044
Rb Pm I
6 2 12
direct
0.5348 0.9160 0.7586
0.5000 0.5000 0.0000
0.4652 0.0840 0.2414
0.0348 0.5840 0.2586
0.0000 0.0000 0.5000
0.9652 0.4160 0.7414
0.5000 0.5000 0.5000
0.0000 0.0000 0.0000
0.7132 0.1765 0.9428
0.6617 0.2232 0.5778
0.6375 0.4440 0.2710
0.3625 0.5560 0.7290
0.3383 0.7768 0.4222
0.2868 0.8235 0.0572
0.2132 0.3235 0.4428
0.1617 0.2768 0.0778
0.1375 0.0560 0.7710
0.8625 0.9440 0.2290
0.8383 0.7232 0.9222
0.7868 0.6765 0.5572



GGA-PBE HoCu10Ni2, relaxed; calculated total energy = -4.49 eV per atom; energy of formation = -0.102 eV per atom
1.0
4.4654 0.0000 1.8206
2.2327 5.9082 0.9103
-0.0214 0.0000 6.4389
Ho Cu Ni
1 10 2
direct
0.0000 0.0000 0.0000
0.3529 0.6427 0.6514
0.6471 0.3573 0.3486
0.9956 0.3573 0.6514
0.0044 0.6427 0.3486
0.0000 0.0000 0.5000
0.5000 0.0000 0.5000
0.2789 0.2225 0.2197
0.7211 0.7775 0.7803
0.5014 0.7775 0.2197
0.4986 0.2225 0.7803
0.0000 0.5000 0.0000
0.5000 0.5000 0.0000



GGA-PBE ErZn11Pt, relaxed; calculated total energy = -2.16 eV per atom; energy of formation = -0.262 eV per atom
1.0
4.8208 0.0695 2.0084
2.4341 6.2840 1.0141
-0.0151 0.0348 6.8261
Er Zn Pt
1 11 1
direct
0.0000 0.0000 0.0000
0.2812 0.2134 0.2174
0.7188 0.7866 0.7826
0.5013 0.7866 0.2174
0.4987 0.2134 0.7826
0.3631 0.6472 0.6479
0.6369 0.3528 0.3521
0.9890 0.3528 0.6479
0.0110 0.6472 0.3521
0.0000 0.5000 0.0000
0.5000 0.0000 0.5000
0.0000 0.0000 0.5000
0.5000 0.5000 0.0000



GGA-PBE TbHo3Tm3Se8, relaxed; formation energy without anion corrections = -1.796 eV per atom; calculated total energy = -5.77 eV per atom
1.0
8.0478 0.0000 0.0000
-4.0239 6.9692 -0.0242
0.0000 -4.6237 6.5942
Tb Ho Tm Se
1 3 3 8
direct
0.0000 0.0000 0.5000
0.0000 0.0000 0.0000
0.0000 0.5000 0.0000
0.5000 0.5000 0.0000
0.5000 0.0000 0.5000
0.5000 0.5000 0.5000
0.0000 0.5000 0.5000
0.2512 0.5023 0.2535
0.7488 0.4977 0.7465
0.7439 0.4878 0.2462
0.2561 0.5122 0.7538
0.7439 0.0023 0.2463
0.2561 0.9977 0.7537
0.2584 0.0023 0.2463
0.7416 0.9977 0.7537